The following is a DFT calculation (PBE-GGA) of a geometry-optimized Cu2Bi3S4 structure.

Cell: 8.091 8.091 7.428 Å, 90.67 90.67 67.50°
Positions (direct):
Cu 0.102 0.341 0.441
Cu 0.341 0.102 0.941
Cu 0.659 0.898 0.059
Cu 0.898 0.659 0.559
Bi 0.191 0.809 0.250
Bi 0.230 0.517 0.952
Bi 0.483 0.770 0.548
Bi 0.517 0.230 0.452
Bi 0.770 0.483 0.048
Bi 0.809 0.191 0.750
S 0.124 0.290 0.133
S 0.206 0.575 0.524
S 0.290 0.124 0.633
S 0.425 0.794 0.976
S 0.575 0.206 0.024
S 0.710 0.876 0.367
S 0.794 0.425 0.476
S 0.876 0.710 0.867

E: -0.308 Ry per atom
E_form (uncorrected): -1.33 eV per formula unit



The following is a DFT calculation (PBE-GGA) of a geometry-optimized Cu3BiS3 structure.

Cell: 6.818 7.651 10.494 Å, 90.00 90.00 90.00°
Positions (direct):
Cu 0.026 0.052 0.454
Cu 0.073 0.700 0.402
Cu 0.142 0.855 0.089
Cu 0.358 0.145 0.589
Cu 0.427 0.300 0.902
Cu 0.474 0.948 0.954
Cu 0.526 0.448 0.546
Cu 0.573 0.800 0.598
Cu 0.642 0.645 0.911
Cu 0.858 0.355 0.411
Cu 0.927 0.200 0.098
Cu 0.974 0.552 0.046
Bi 0.134 0.685 0.739
Bi 0.366 0.315 0.239
Bi 0.634 0.815 0.261
Bi 0.866 0.185 0.761
S 0.078 0.308 0.572
S 0.098 0.325 0.933
S 0.107 0.057 0.245
S 0.393 0.943 0.745
S 0.402 0.675 0.433
S 0.422 0.692 0.072
S 0.578 0.192 0.428
S 0.598 0.175 0.067
S 0.607 0.443 0.755
S 0.893 0.557 0.255
S 0.902 0.825 0.567
S 0.922 0.808 0.928

E: -0.315 Ry per atom
E_form (uncorrected): -1.47 eV per formula unit



The following is a DFT calculation (PBE-GGA) of a geometry-optimized Cu2Bi2S structure.

Cell: 6.820 6.820 4.453 Å, 90.00 90.00 90.00°
Positions (direct):
Cu 0.129 0.371 0.000
Cu 0.371 0.871 0.000
Cu 0.629 0.129 0.000
Cu 0.871 0.629 0.000
Bi 0.167 0.667 0.500
Bi 0.333 0.167 0.500
Bi 0.667 0.833 0.500
Bi 0.833 0.333 0.500
S 0.000 0.000 0.000
S 0.500 0.500 0.000

E: -0.277 Ry per atom
Energy above the lowest structure with this stoichiometry: 0.074 eV per atom
E_form (uncorrected): 1.27 eV per formula unit



The following is a DFT calculation (PBE-GGA) of a geometry-optimized Cu2BiS3 structure.

Cell: 7.322 7.322 5.004 Å, 90.00 90.00 115.19°
Positions (direct):
Cu 0.185 0.185 0.000
Cu 0.185 0.185 0.500
Cu 0.815 0.815 0.000
Cu 0.815 0.815 0.500
Bi 0.262 0.738 0.750
Bi 0.738 0.262 0.250
S 0.113 0.887 0.250
S 0.150 0.429 0.250
S 0.429 0.150 0.750
S 0.571 0.850 0.250
S 0.850 0.571 0.750
S 0.887 0.113 0.750

E: -0.309 Ry per atom
Energy above the lowest structure with this stoichiometry: 0.077 eV per atom
E_form (uncorrected): -0.77 eV per formula unit



The following is a DFT calculation (PBE-GGA) of a geometry-optimized CuBi4S5 structure.

Cell: 7.076 7.076 7.076 Å, 98.98 98.98 133.44°
Positions (direct):
Cu 0.000 0.000 0.000
Bi 0.227 0.445 0.609
Bi 0.445 0.835 0.217
Bi 0.618 0.227 0.783
Bi 0.835 0.618 0.391
S 0.163 0.807 0.881
S 0.282 0.163 0.356
S 0.553 0.553 0.000
S 0.807 0.926 0.644
S 0.926 0.282 0.119

E: -0.303 Ry per atom
E_form (uncorrected): -1.02 eV per formula unit



The following is a DFT calculation (PBE-GGA) of a geometry-optimized Cu2BiS3 structure.

Cell: 13.818 6.566 13.285 Å, 80.54 27.95 71.51°
Positions (direct):
Cu 0.000 0.000 0.000
Cu 0.077 0.406 0.103
Cu 0.147 0.836 0.173
Cu 0.250 0.250 0.250
Cu 0.406 0.077 0.414
Cu 0.489 0.489 0.511
Cu 0.739 0.739 0.761
Cu 0.836 0.147 0.844
Bi 0.264 0.673 0.385
Bi 0.573 0.865 0.577
Bi 0.673 0.264 0.677
Bi 0.865 0.573 0.986
S 0.001 0.784 0.159
S 0.080 0.631 0.380
S 0.091 0.194 0.249
S 0.194 0.091 0.466
S 0.294 0.427 0.562
S 0.342 0.870 0.619
S 0.427 0.294 0.718
S 0.532 0.688 0.823
S 0.631 0.080 0.908
S 0.688 0.532 0.956
S 0.784 0.001 0.056
S 0.870 0.342 0.170

E: -0.315 Ry per atom
Energy above the lowest structure with this stoichiometry: 0.000 eV per atom
E_form (uncorrected): -1.23 eV per formula unit



The following is a DFT calculation (PBE-GGA) of a geometry-optimized ScCuBi2S5 structure.

Cell: 9.312 9.312 12.024 Å, 90.00 90.00 156.01°
Positions (direct):
Sc 0.198 0.802 0.500
Sc 0.802 0.198 0.000
Cu 0.425 0.575 0.946
Cu 0.575 0.425 0.446
Bi 0.090 0.910 0.760
Bi 0.151 0.849 0.170
Bi 0.849 0.151 0.670
Bi 0.910 0.090 0.260
S 0.059 0.941 0.546
S 0.294 0.706 0.152
S 0.309 0.691 0.860
S 0.343 0.657 0.515
S 0.491 0.509 0.784
S 0.509 0.491 0.284
S 0.657 0.343 0.015
S 0.691 0.309 0.360
S 0.706 0.294 0.652
S 0.941 0.059 0.046

E: -0.372 Ry per atom
E_form (uncorrected): -6.70 eV per formula unit



The following is a DFT calculation (PBE-GGA) of a geometry-optimized Cu2BiSeS2 structure.

Cell: 5.364 5.534 8.326 Å, 90.00 97.68 90.00°
Positions (direct):
Cu 0.174 0.250 0.132
Cu 0.191 0.750 0.117
Cu 0.809 0.250 0.883
Cu 0.826 0.750 0.868
Bi 0.242 0.250 0.686
Bi 0.758 0.750 0.314
Se 0.335 0.750 0.869
Se 0.665 0.250 0.131
S 0.221 0.509 0.351
S 0.221 0.991 0.351
S 0.779 0.009 0.649
S 0.779 0.491 0.649

E: -0.288 Ry per atom
E_form (uncorrected): 0.28 eV per formula unit



The following is a DFT calculation (PBE-GGA) of a geometry-optimized CuBiSeS structure.

Cell: 4.094 4.094 7.080 Å, 106.78 106.78 60.02°
Positions (direct):
Cu 0.000 0.000 0.000
Bi 0.854 0.854 0.558
Se 0.622 0.622 0.866
S 0.113 0.113 0.337

E: -0.306 Ry per atom
E_form (uncorrected): -1.04 eV per formula unit



The following is a DFT calculation (PBE-GGA) of a geometry-optimized CuSi2BiS structure.

Cell: 4.327 4.327 5.924 Å, 90.00 90.00 90.00°
Positions (direct):
Cu 0.000 0.000 0.000
Si 0.000 0.500 0.000
Si 0.500 0.000 0.000
Bi 0.000 0.000 0.500
S 0.500 0.500 0.500

E: -0.294 Ry per atom
E_form (uncorrected): 2.92 eV per formula unit



The following is a DFT calculation (PBE-GGA) of a geometry-optimized SmCuBi2S5 structure.

Cell: 9.639 9.639 12.218 Å, 90.00 90.00 156.12°
Positions (direct):
Sm 0.202 0.798 0.500
Sm 0.798 0.202 0.000
Cu 0.431 0.569 0.953
Cu 0.569 0.431 0.453
Bi 0.087 0.913 0.760
Bi 0.149 0.851 0.170
Bi 0.851 0.149 0.670
Bi 0.913 0.087 0.260
S 0.056 0.944 0.551
S 0.289 0.711 0.164
S 0.322 0.678 0.851
S 0.351 0.649 0.520
S 0.496 0.504 0.791
S 0.504 0.496 0.291
S 0.649 0.351 0.020
S 0.678 0.322 0.351
S 0.711 0.289 0.664
S 0.944 0.056 0.051

E: -0.360 Ry per atom
E_form (uncorrected): -6.87 eV per formula unit



The following is a DFT calculation (PBE-GGA) of a geometry-optimized CuSnBiS4 structure.

Cell: 7.688 7.688 7.688 Å, 120.06 118.98 90.84°
Positions (direct):
Cu 0.382 0.132 0.250
Cu 0.618 0.868 0.750
Sn 0.000 0.500 0.500
Sn 0.500 0.500 0.000
Bi 0.000 0.000 0.500
Bi 0.000 0.500 0.000
S 0.251 0.741 0.510
S 0.261 0.272 0.511
S 0.261 0.750 0.989
S 0.269 0.259 0.010
S 0.731 0.741 0.990
S 0.739 0.250 0.011
S 0.739 0.728 0.489
S 0.749 0.259 0.490

E: -0.322 Ry per atom
E_form (uncorrected): -2.17 eV per formula unit



The following is a DFT calculation (PBE-GGA) of a geometry-optimized CuSnBi2S5 structure.

Cell: 8.731 8.731 12.683 Å, 90.00 90.00 153.87°
Positions (direct):
Cu 0.003 0.997 0.500
Cu 0.997 0.003 0.000
Sn 0.294 0.706 0.504
Sn 0.706 0.294 0.004
Bi 0.358 0.642 0.210
Bi 0.400 0.600 0.763
Bi 0.600 0.400 0.263
Bi 0.642 0.358 0.710
S 0.003 0.997 0.817
S 0.132 0.868 0.559
S 0.206 0.794 0.160
S 0.215 0.785 0.860
S 0.448 0.552 0.559
S 0.552 0.448 0.059
S 0.785 0.215 0.360
S 0.794 0.206 0.660
S 0.868 0.132 0.059
S 0.997 0.003 0.317

E: -0.320 Ry per atom
E_form (uncorrected): -2.71 eV per formula unit



The following is a DFT calculation (PBE-GGA) of a geometry-optimized CuBiTeS2 structure.

Cell: 4.537 4.537 5.606 Å, 90.00 90.00 90.00°
Positions (direct):
Cu 0.000 0.000 0.000
Bi 0.000 0.000 0.500
Te 0.500 0.500 0.500
S 0.000 0.500 0.000
S 0.500 0.000 0.000

E: -0.258 Ry per atom
E_form (uncorrected): 1.83 eV per formula unit



The following is a DFT calculation (PBE-GGA) of a geometry-optimized TiCuBi2S5 structure.

Cell: 8.536 8.536 12.593 Å, 90.00 90.00 155.36°
Positions (direct):
Ti 0.188 0.812 0.500
Ti 0.812 0.188 0.000
Cu 0.432 0.568 0.931
Cu 0.568 0.432 0.431
Bi 0.122 0.878 0.145
Bi 0.122 0.878 0.795
Bi 0.878 0.122 0.295
Bi 0.878 0.122 0.645
S 0.052 0.948 0.539
S 0.284 0.716 0.140
S 0.304 0.696 0.870
S 0.349 0.651 0.486
S 0.496 0.504 0.277
S 0.504 0.496 0.777
S 0.651 0.349 0.986
S 0.696 0.304 0.370
S 0.716 0.284 0.640
S 0.948 0.052 0.039

E: -0.370 Ry per atom
E_form (uncorrected): -4.98 eV per formula unit



The following is a DFT calculation (PBE-GGA) of a geometry-optimized TlCuBiS2 structure.

Cell: 7.243 4.251 8.690 Å, 90.00 97.37 90.00°
Positions (direct):
Tl 0.000 0.131 0.250
Tl 0.000 0.869 0.750
Cu 0.500 0.000 0.000
Cu 0.500 0.000 0.500
Bi 0.500 0.485 0.750
Bi 0.500 0.515 0.250
S 0.259 0.318 0.979
S 0.259 0.682 0.479
S 0.741 0.318 0.521
S 0.741 0.682 0.021

E: -0.286 Ry per atom
E_form (uncorrected): -0.83 eV per formula unit



The following is a DFT calculation (PBE-GGA) of a geometry-optimized Tl3CuBi2S6 structure.

Cell: 6.898 6.898 7.599 Å, 100.22 100.22 117.86°
Positions (direct):
Tl 0.000 0.000 0.000
Tl 0.323 0.677 0.000
Tl 0.677 0.323 0.000
Cu 0.500 0.500 0.500
Bi 0.163 0.837 0.500
Bi 0.837 0.163 0.500
S 0.145 0.433 0.313
S 0.245 0.245 0.746
S 0.433 0.145 0.313
S 0.567 0.855 0.687
S 0.755 0.755 0.254
S 0.855 0.567 0.687

E: -0.287 Ry per atom
E_form (uncorrected): -3.07 eV per formula unit



The following is a DFT calculation (PBE-GGA) of a geometry-optimized TlCuBi2S4 structure.

Cell: 7.198 7.198 14.294 Å, 90.00 90.00 147.25°
Positions (direct):
Tl 0.105 0.895 0.750
Tl 0.895 0.105 0.250
Cu 0.154 0.846 0.250
Cu 0.846 0.154 0.750
Bi 0.365 0.635 0.559
Bi 0.365 0.635 0.941
Bi 0.635 0.365 0.059
Bi 0.635 0.365 0.441
S 0.000 0.000 0.000
S 0.000 0.000 0.500
S 0.263 0.737 0.114
S 0.263 0.737 0.386
S 0.425 0.575 0.750
S 0.575 0.425 0.250
S 0.737 0.263 0.614
S 0.737 0.263 0.886

E: -0.307 Ry per atom
E_form (uncorrected): -2.71 eV per formula unit



The following is a DFT calculation (PBE-GGA) of a geometry-optimized TmCuBi2S5 structure.

Cell: 9.500 9.500 12.138 Å, 90.00 90.00 156.12°
Positions (direct):
Tm 0.200 0.800 0.500
Tm 0.800 0.200 0.000
Cu 0.428 0.572 0.949
Cu 0.572 0.428 0.449
Bi 0.088 0.912 0.758
Bi 0.151 0.849 0.170
Bi 0.849 0.151 0.670
Bi 0.912 0.088 0.258
S 0.057 0.943 0.547
S 0.292 0.708 0.157
S 0.315 0.685 0.854
S 0.347 0.653 0.517
S 0.493 0.507 0.786
S 0.507 0.493 0.286
S 0.653 0.347 0.017
S 0.685 0.315 0.354
S 0.708 0.292 0.657
S 0.943 0.057 0.047

E: -0.360 Ry per atom
E_form (uncorrected): -7.06 eV per formula unit